{"formula": "Ti4Al2C", "functional": "PBE", "state": "optimized geometry", "lattice": [[4.085, 0.000, 0.000], [0.000, 4.085, 0.000], [2.043, 2.043, 6.945]], "species": ["Ti", "Ti", "Al", "Ti", "Al", "Ti", "C"], "frac_coords": [[0.847, 0.847, 0.307], [0.153, 0.153, 0.693], [0.358, 0.358, 0.285], [0.000, 0.500, 0.000], [0.642, 0.642, 0.715], [0.500, 0.000, 0.000], [0.000, 0.000, 0.000]], "sg": "No. 139", "de_polymorph_mev_per_atom": 42, "density_g_cm3": 3.69, "dos_at_fermi_per_ev_atom": 0.962, "crystal_system": "tetragonal"}


{"formula": "BaTb2Er", "functional": "PBE", "state": "optimized geometry", "lattice": [[3.603, 0.000, 0.000], [1.801, 3.120, 0.000], [1.801, 1.040, 12.831]], "species": ["Er", "Ba", "Tb", "Tb"], "frac_coords": [[0.500, 0.500, 0.500], [0.000, 0.000, 0.000], [0.094, 0.094, 0.718], [0.906, 0.906, 0.282]], "sg": "No. 166", "de_polymorph_mev_per_atom": 68, "density_g_cm3": 7.17, "dos_at_fermi_per_ev_atom": 1.238, "crystal_system": "trigonal"}


{"formula": "Zr2ReTc", "functional": "PBE", "state": "optimized geometry", "lattice": [[2.934, 0.015, 0.000], [-1.086, 2.726, 0.000], [0.000, 0.000, 8.906]], "species": ["Zr", "Re", "Zr", "Tc"], "frac_coords": [[0.000, 0.000, 0.997], [0.500, 0.500, 0.250], [0.000, 0.000, 0.503], [0.500, 0.500, 0.750]], "sg": "No. 65", "e_tot_ev_per_atom": -10.04, "density_g_cm3": 10.86, "dos_at_fermi_per_ev_atom": 1.044, "crystal_system": "orthorhombic"}


{"formula": "Ac4SmEr", "functional": "PBE", "state": "optimized geometry", "lattice": [[6.258, 0.000, 0.000], [0.000, 7.437, 0.000], [0.000, -0.001, 10.503]], "species": ["Sm", "Ac", "Ac", "Ac", "Ac", "Sm", "Er", "Ac", "Ac", "Ac", "Er", "Ac"], "frac_coords": [[0.500, 0.250, 0.500], [0.500, 0.000, 0.169], [0.000, 0.000, 0.671], [0.500, 0.500, 0.169], [0.500, 0.000, 0.831], [0.500, 0.750, 0.500], [0.000, 0.250, 0.000], [0.000, 0.500, 0.329], [0.000, 0.500, 0.671], [0.000, 0.000, 0.329], [0.000, 0.750, 0.000], [0.500, 0.500, 0.831]], "sg": "No. 47", "de_polymorph_mev_per_atom": 0, "density_g_cm3": 8.33, "dos_at_fermi_per_ev_atom": 2.056, "crystal_system": "orthorhombic"}